Record 1
First-principles (PBE-GGA) data for crystalline SrBeGePd at its relaxed geometry, as listed in the Open Quantum Materials Database.

Structure (POSCAR):
```
SrBeGePd
1.0
3.569 2.721 1.696
-0.545 2.364 4.139
2.434 -1.389 3.894
Be Pd Sr Ge
1 1 1 1
Direct
0.750 0.750 0.750
0.500 0.500 0.500
0.250 0.250 0.250
0.000 0.000 0.000
```

Output
For the energy above the lowest structure with this stoichiometry, the calculation gives 0.097 eV/atom. The volume is 78.09 Å³/f.u. The crystal system is cubic.

Record 2
First-principles (PBE-GGA) data for crystalline SmDyAl at its relaxed geometry, as listed in the Open Quantum Materials Database.

Structure (POSCAR):
```
SmDyAl
1.0
4.264 -0.320 2.777
0.358 2.513 4.421
-0.012 -2.571 4.402
Dy Sm Al
1 1 1
Direct
0.750 0.750 0.750
0.000 0.000 0.000
0.250 0.250 0.250
```

Output
As for the magnetization: 0.0 μB/f.u. The calculation puts the electronic total energy at -3.846 eV per atom. The volume is 93.70 Å³/f.u. The crystal system is cubic.

Record 3
First-principles (PBE-GGA) data for crystalline YPdPt4 at its relaxed geometry, as listed in the Open Quantum Materials Database.

Structure (POSCAR):
```
YPdPt4
1.0
3.045 -1.600 4.072
-0.279 2.521 4.689
-2.220 -2.420 4.199
Y Pd Pt
1 1 4
Direct
0.250 0.250 0.250
0.000 0.000 0.000
0.625 0.625 0.124
0.625 0.625 0.625
0.124 0.625 0.625
0.625 0.124 0.625
```

Output
As for the magnetization: 0.0 μB/f.u. The volume is 107.10 Å³/f.u. For the formation energy, the calculation gives -0.6985 eV/atom. The crystal system is cubic.

Record 4
First-principles (PBE-GGA) data for crystalline Nd3Zn4 at its relaxed geometry, as listed in the Open Quantum Materials Database.

Structure (POSCAR):
```
Nd3Zn4
1.0
-5.513 1.501 6.916
1.038 -4.584 7.641
2.891 3.301 1.588
Zn Nd
8 6
Direct
0.728 0.388 0.000
0.565 0.354 0.500
0.796 0.993 0.500
0.429 0.857 0.000
0.959 0.027 0.000
0.599 0.157 0.000
0.095 0.524 0.500
0.925 0.224 0.500
0.416 0.098 0.500
0.200 0.845 0.500
0.854 0.752 0.000
0.670 0.629 0.500
0.108 0.283 0.000
0.324 0.536 0.000
```

Output
As for the magnetization: 0.2 μB/f.u. For the energy above the lowest structure with this stoichiometry, the calculation gives 0.000 eV/atom. The volume is 162.59 Å³/f.u. For the formation energy, the calculation gives -0.1786 eV/atom. The crystal system is hexagonal.

Record 5
First-principles (PBE-GGA) data for crystalline ZnIn2Te2S2 at its relaxed geometry, as listed in the Open Quantum Materials Database.

Structure (POSCAR):
```
ZnIn2Te2S2
1.0
4.120 -5.887 0.000
4.120 5.887 0.000
-4.081 0.000 4.329
In S Te Zn
2 2 2 1
Direct
0.508 0.492 0.000
0.239 0.761 0.500
0.885 0.631 0.998
0.369 0.115 0.002
0.072 0.336 0.477
0.664 0.928 0.523
0.013 0.987 0.000
```

Output
For the energy above the lowest structure with this stoichiometry, the calculation gives 0.014 eV/atom. The volume is 210.02 Å³/f.u. The crystal system is monoclinic.

Record 6
First-principles (PBE-GGA) data for crystalline PrNbB at its relaxed geometry, as listed in the Open Quantum Materials Database.

Structure (POSCAR):
```
PrNbB
1.0
0.000 3.072 3.072
3.072 0.000 3.072
3.072 3.072 0.000
Nb B Pr
1 1 1
Direct
0.250 0.250 0.250
0.000 0.000 0.000
0.750 0.750 0.750
```

Output
As for the magnetization: 0.0 μB/f.u. For the energy above the lowest structure with this stoichiometry, the calculation gives 0.000 eV/atom. The volume is 57.97 Å³/f.u. The crystal system is cubic.